1.
Here is a relaxed structure of LiMn2Co from Alexandria via LeMat-Bulk. Energies are from GGA-PBEsol.

Properties
Crystal system: monoclinic
Space-group type: C2/m
Calculated total energy: -6.985 eV per atom
Energy of formation: 322 meV per atom

a b c (Å): 2.3140 4.5705 4.6245
angles (deg): 115.68 97.47 104.08
Last column: nearest neighbours and their distance in Å.
Fractional positions:
Mn 0.5000 0.5000 0.5000  4 Mn 2.30-2.31, 2 Li 2.45, 2 Co 2.45
Mn 0.0000 0.0000 0.5000  4 Mn 2.30-2.31, 2 Co 2.45, 2 Li 2.45
Li 0.5000 0.0000 0.0000  2 Co 2.30, 2 Li 2.31, 4 Mn 2.45
Co 0.0000 0.5000 0.0000  2 Li 2.30, 2 Co 2.31, 4 Mn 2.45

=====

2.
Here is a relaxed structure of Tc4SbBr from Alexandria via LeMat-Bulk. Energies are from GGA-PBEsol.

Properties
Crystal system: cubic
Space-group type: F-43m
Calculated total energy: -7.670 eV per atom

a b c (Å): 5.2166 5.2166 5.2166
angles (deg): 60.00 60.00 60.00
Last column: nearest neighbours and their distance in Å.
Fractional positions:
Tc 0.3749 0.3749 0.3749  6 Tc 2.61
Tc 0.3749 0.3749 0.8754  6 Tc 2.61
Sb 0.0000 0.0000 0.0000  12 Tc 3.06, 4 Br 3.19
Br 0.7500 0.7500 0.7500  12 Tc 3.06, 4 Sb 3.19
Tc 0.8754 0.3749 0.3749  6 Tc 2.61
Tc 0.3749 0.8754 0.3749  6 Tc 2.61

=====

3.
Here is a relaxed structure of K2SrCl4 from Alexandria via LeMat-Bulk. Energies are from GGA-PBEsol.

Properties
Crystal system: monoclinic
Space-group type: Cc
Calculated total energy: -3.896 eV per atom

a b c (Å): 7.8315 7.8461 7.8461
angles (deg): 108.27 110.00 110.00
Last column: nearest neighbours and their distance in Å.
Fractional positions:
Cl 0.9981 0.9816 0.8490  2 Sr 2.93-3.20, 3 K 3.02-3.22
Cl 0.5001 0.3505 0.9828  2 Sr 2.93-3.23, 3 K 3.02-3.23
Cl 0.8646 0.5145 0.5142  2 Sr 2.93-3.20, 3 K 3.02-3.22
Cl 0.1296 0.6467 0.1449  2 Sr 2.93-3.23, 3 K 3.02-3.23
K 0.1101 0.3597 0.7477  8 Cl 3.02-3.34
Sr 0.7476 0.6235 0.8722  8 Cl 2.93-3.23
Cl 0.0001 0.9828 0.3505  2 Sr 2.93-3.23, 3 K 3.02-3.23
K 0.8855 0.2485 0.1357  8 Cl 3.02-3.33
K 0.3855 0.1357 0.2485  8 Cl 3.02-3.33
Sr 0.2476 0.8722 0.6235  8 Cl 2.93-3.23
Cl 0.6296 0.1449 0.6467  2 Sr 2.93-3.23, 3 K 3.02-3.23
Cl 0.3646 0.5142 0.5145  2 Sr 2.93-3.20, 3 K 3.02-3.22
Cl 0.4981 0.8490 0.9816  2 Sr 2.93-3.20, 3 K 3.02-3.22
K 0.6101 0.7477 0.3597  8 Cl 3.02-3.34

=====

4.
Here is a relaxed structure of MgAl2Cd from Alexandria via LeMat-Bulk. Energies are from GGA-PBEsol.

Properties
Crystal system: tetragonal
Space-group type: P4/mmm
Calculated total energy: -2.646 eV per atom
Energy of formation: 128 meV per atom

a b c (Å): 3.7346 3.7346 5.6470
angles (deg): 90.00 90.00 90.00
Last column: nearest neighbours and their distance in Å.
Fractional positions:
Cd 0.5000 0.5000 0.0000  2 Mg 2.82, 8 Al 2.99
Al 0.0000 0.0000 0.2473  2 Al 2.79-2.85, 4 Cd 2.99, 4 Mg 3.00
Al 0.0000 0.0000 0.7527  2 Al 2.79-2.85, 4 Cd 2.99, 4 Mg 3.00
Mg 0.5000 0.5000 0.5000  2 Cd 2.82, 8 Al 3.00

=====

5.
Here is a relaxed structure of YPtAuSe2 from Alexandria via LeMat-Bulk. Energies are from GGA-PBEsol.

Properties
Crystal system: tetragonal
Space-group type: P4/mmm
Calculated total energy: -4.589 eV per atom

a b c (Å): 4.8306 4.8306 5.4568
angles (deg): 90.00 90.00 90.00
Last column: nearest neighbours and their distance in Å.
Fractional positions:
Au 0.0000 0.0000 0.0000  4 Se 2.42
Y 0.0000 0.0000 0.5000  2 Au 2.73
Se 0.5000 0.0000 0.0000  2 Au 2.42
Se 0.0000 0.5000 0.0000  2 Au 2.42
Pt 0.5000 0.5000 0.5000  4 Y 3.42, 8 Se 3.64

=====

6.
Here is a relaxed structure of CuMo2Os from Alexandria via LeMat-Bulk. Energies are from GGA-PBEsol.

Properties
Crystal system: tetragonal
Space-group type: P4/mmm
Calculated total energy: -9.857 eV per atom
Energy of formation: 165 meV per atom

a b c (Å): 3.8712 3.7964 3.7964
angles (deg): 90.00 90.00 90.00
Last column: nearest neighbours and their distance in Å.
Fractional positions:
Mo 0.0000 0.5000 0.0000  4 Mo 2.68, 4 Os 2.71, 4 Cu 2.71
Mo 0.0000 0.0000 0.5000  4 Mo 2.68, 4 Os 2.71, 4 Cu 2.71
Cu 0.5000 0.0000 0.0000  4 Os 2.68, 8 Mo 2.71
Os 0.5000 0.5000 0.5000  4 Cu 2.68, 8 Mo 2.71

=====

7.
Here is a relaxed structure of Li3VS4 from Alexandria via LeMat-Bulk. Energies are from GGA-PBEsol.

Properties
Crystal system: monoclinic
Space-group type: P2_1/c
Calculated total energy: -5.183 eV per atom

a b c (Å): 7.0114 6.9402 13.4882
angles (deg): 112.08 90.00 90.00
Last column: nearest neighbours and their distance in Å.
Fractional positions:
Li 0.0547 0.5030 0.3558  5 S 2.51-2.80
Li 0.5781 0.7272 0.6191  5 S 2.50-2.77
Li 0.4219 0.2728 0.3809  5 S 2.50-2.77
S 0.6533 0.8411 0.2817  1 V 2.15
Li 0.9453 0.4970 0.6442  5 S 2.51-2.80
S 0.1923 0.6514 0.2200  1 V 2.10
S 0.6427 0.7685 0.0038  1 V 2.17
Li 0.6587 0.0523 0.9336  4 S 2.41-2.49
Li 0.3413 0.9477 0.0664  4 S 2.41-2.49
S 0.1427 0.2315 0.4962  1 V 2.17
S 0.6347 0.3283 0.5480  1 V 2.14
S 0.6923 0.3486 0.2800  1 V 2.10
Li 0.9219 0.7272 0.1191  5 S 2.50-2.77
Li 0.5547 0.4970 0.1442  5 S 2.51-2.80
S 0.1347 0.6717 0.9520  1 V 2.14
S 0.1533 0.1589 0.2183  1 V 2.15
V 0.1401 0.3413 0.1200  4 S 2.10-2.17
S 0.3077 0.6514 0.7200  1 V 2.10
S 0.3467 0.1589 0.7183  1 V 2.15
S 0.8467 0.8411 0.7817  1 V 2.15
Li 0.4453 0.5030 0.8558  5 S 2.51-2.80
Li 0.0781 0.2728 0.8809  5 S 2.50-2.77
S 0.8653 0.3283 0.0480  1 V 2.14
V 0.3599 0.3413 0.6200  4 S 2.10-2.17
V 0.8599 0.6587 0.8800  4 S 2.10-2.17
Li 0.8413 0.0523 0.4336  4 S 2.41-2.49
V 0.6401 0.6587 0.3800  4 S 2.10-2.17
S 0.3573 0.2315 0.9962  1 V 2.17
S 0.8077 0.3486 0.7800  1 V 2.10
Li 0.1587 0.9477 0.5664  4 S 2.41-2.49
S 0.8573 0.7685 0.5038  1 V 2.17
S 0.3653 0.6717 0.4520  1 V 2.14

=====

8.
Here is a relaxed structure of TaTiRu3 from Alexandria via LeMat-Bulk. Energies are from GGA-PBEsol.

Properties
Crystal system: cubic
Space-group type: Pm-3m
Calculated total energy: -9.295 eV per atom
Energy of formation: 983 meV per atom

a b c (Å): 4.3704 4.3704 4.3704
angles (deg): 90.00 90.00 90.00
Last column: nearest neighbours and their distance in Å.
Fractional positions:
Ru 0.0000 0.0000 0.5000  2 Ti 2.19
Ta 0.5000 0.5000 0.5000  12 Ru 3.09
Ti 0.0000 0.0000 0.0000  6 Ru 2.19
Ru 0.5000 0.0000 0.0000  2 Ti 2.19
Ru 0.0000 0.5000 0.0000  2 Ti 2.19

=====

9.
Here is a relaxed structure of Zr2CdAg from Alexandria via LeMat-Bulk. Energies are from GGA-PBEsol.

Properties
Crystal system: tetragonal
Space-group type: P4/mmm
Calculated total energy: -5.704 eV per atom
Energy of formation: -32 meV per atom

a b c (Å): 3.4390 4.8364 4.8364
angles (deg): 90.00 90.00 90.00
Last column: nearest neighbours and their distance in Å.
Fractional positions:
Cd 0.5000 0.0000 0.0000  8 Zr 2.97
Zr 0.0000 0.0000 0.5000  4 Cd 2.97, 4 Ag 2.97
Ag 0.5000 0.5000 0.5000  8 Zr 2.97
Zr 0.0000 0.5000 0.0000  4 Cd 2.97, 4 Ag 2.97

=====

10.
Here is a relaxed structure of Tl2HgAu from Alexandria via LeMat-Bulk. Energies are from GGA-PBEsol.

Properties
Crystal system: tetragonal
Space-group type: I4/mmm
Calculated total energy: -2.395 eV per atom
Energy of formation: 43 meV per atom

a b c (Å): 4.7799 5.3760 4.7799
angles (deg): 63.60 90.00 116.40
Last column: nearest neighbours and their distance in Å.
Fractional positions:
Tl 0.7500 0.5000 0.7500  4 Hg 3.18, 4 Au 3.18, 4 Tl 3.38
Au 0.5000 0.0000 0.5000  8 Tl 3.18, 4 Hg 3.38
Hg 0.0000 0.0000 0.0000  8 Tl 3.18, 4 Au 3.38
Tl 0.2500 0.5000 0.2500  4 Hg 3.18, 4 Au 3.18, 4 Tl 3.38

=====

11.
Here is a relaxed structure of Y4C from Alexandria via LeMat-Bulk. Energies are from GGA-PBEsol.

Properties
Crystal system: trigonal
Space-group type: P-3m1
Calculated total energy: -7.504 eV per atom
Energy of formation: -118 meV per atom

a b c (Å): 3.5032 3.5032 12.4029
angles (deg): 90.00 90.00 120.00
Last column: nearest neighbours and their distance in Å.
Fractional positions:
C 0.0000 0.0000 0.0000  6 Y 2.43
Y 0.6667 0.3333 0.1081  3 C 2.43
Y 0.6667 0.3333 0.3889  10 Y 3.42-3.50
Y 0.3333 0.6667 0.6111  10 Y 3.42-3.50
Y 0.3333 0.6667 0.8919  3 C 2.43

=====

12.
Here is a relaxed structure of TaAlZn2 from Alexandria via LeMat-Bulk. Energies are from GGA-PBEsol.

Properties
Crystal system: monoclinic
Space-group type: Pm
Calculated total energy: -4.965 eV per atom
Energy of formation: -13 meV per atom

a b c (Å): 2.8225 4.2115 5.2197
angles (deg): 90.00 90.10 90.00
Last column: nearest neighbours and their distance in Å.
Fractional positions:
Zn 0.7501 0.5000 0.2445  2 Zn 2.48, 2 Al 2.53
Al 0.7483 0.0000 0.5124  4 Zn 2.51-2.71
Zn 0.7518 0.0000 0.9936  2 Zn 2.48, 2 Al 2.51-2.71
Ta 0.2498 0.5000 0.7494  4 Al 2.82, 2 Ta 2.82, 8 Zn 2.84-2.99

=====

Please write out number 8 again, unchanged.
Here is a relaxed structure of TaTiRu3 from Alexandria via LeMat-Bulk. Energies are from GGA-PBEsol.

Properties
Crystal system: cubic
Space-group type: Pm-3m
Calculated total energy: -9.295 eV per atom
Energy of formation: 983 meV per atom

a b c (Å): 4.3704 4.3704 4.3704
angles (deg): 90.00 90.00 90.00
Last column: nearest neighbours and their distance in Å.
Fractional positions:
Ru 0.0000 0.0000 0.5000  2 Ti 2.19
Ta 0.5000 0.5000 0.5000  12 Ru 3.09
Ti 0.0000 0.0000 0.0000  6 Ru 2.19
Ru 0.5000 0.0000 0.0000  2 Ti 2.19
Ru 0.0000 0.5000 0.0000  2 Ti 2.19

=====

Q: What is the calculated total energy in the tenth record?
A: -2.395 eV per atom